# 1
Cs2YCd3F12: relaxed, GGA-PBE.

The structure in POSCAR format:
```
Cs2YCd3F12
1.0
8.225 0.140 0.099
4.184 7.083 0.099
4.184 2.435 6.652
F Cd Y Cs
12 3 1 2
Cartesian
8.720 5.076 0.684
7.872 4.582 6.167
10.404 8.861 6.285
12.843 4.671 6.285
3.749 4.988 0.565
12.843 7.476 2.330
6.327 6.435 4.564
3.749 2.183 4.520
8.720 2.323 4.564
6.189 0.797 0.565
10.266 3.223 2.286
7.872 7.335 2.286
4.113 0.070 0.050
2.092 3.542 0.050
2.092 1.218 3.326
0.000 0.000 0.000
10.208 5.942 4.215
6.384 3.716 2.636
```

Results
N(E_F) (states/eV/f.u.): 9.1
Total magnetization (μB per cell): 0.0
Uncorrected formation energy (kJ per mole of atoms): -254.1
Symmetry: R-3m

=====

# 2
Cs3ZnCd2F9: relaxed, GGA-PBE.

The structure in POSCAR format:
```
Cs3ZnCd2F9
1.0
-3.738 -3.705 3.470
4.991 2.801 2.642
-4.382 6.109 1.802
F Cd Cs Zn
9 2 3 1
Cartesian
2.496 1.400 1.321
-0.516 2.400 2.007
-5.231 1.336 4.521
0.627 -0.452 3.056
-1.869 -1.852 1.735
-2.612 2.805 5.907
0.141 1.926 5.212
2.102 3.870 3.392
-3.270 3.279 2.701
-4.433 3.490 4.676
1.304 1.716 3.237
-0.842 4.708 4.120
-2.287 0.497 3.794
0.000 0.000 0.000
-2.191 3.055 0.901
```

Results
N(E_F) (states/eV/f.u.): 0.0
Total magnetization (μB per cell): 0.0
Uncorrected formation energy (kJ per mole of atoms): -239.0
Symmetry: P-3m1

=====

The records above give, respectively, volume values of 380; 266 Å³/f.u..